1.
# Mn5FePtN2 | Alexandria | PBE | optimized geometry
# ΔE_f (raw) = -67.3 kJ/mol of formula units
data_Mn5FePtN2
_space_group_name_H-M_alt 'P 4/m m m'
_space_group_IT_number 123
_space_group_name_Hall '-P 4 2'
_cell_length_a 3.971
_cell_length_b 3.971
_cell_length_c 7.407
_cell_angle_alpha 90.00
_cell_angle_beta 90.00
_cell_angle_gamma 90.00
loop_
_atom_site_label
_atom_site_type_symbol
_atom_site_fract_x
_atom_site_fract_y
_atom_site_fract_z
_atom_site_occupancy
Mn1 Mn 0.000 0.000 0.000 1
Mn2 Mn 0.000 0.500 0.271 1
Fe1 Fe 0.000 0.000 0.500 1
Pt1 Pt 0.500 0.500 0.000 1
N1 N 0.000 0.000 0.258 1

***

2.
# HgAsSe2 | Alexandria | PBE | optimized geometry
# ΔE_f (raw) = -16.3 kJ/mol of formula units
# Energy above the most stable polymorph in this dataset = 24.5 meV per atom
data_HgAsSe2
_space_group_name_H-M_alt 'C 1 2/m 1'
_space_group_IT_number 12
_cell_length_a 7.011
_cell_length_b 3.956
_cell_length_c 7.190
_cell_angle_alpha 90.00
_cell_angle_beta 101.05
_cell_angle_gamma 90.00
loop_
_space_group_symop_operation_xyz
'x,y,z'
'-x,-y,-z'
'-x,y,-z'
'x,-y,z'
'x+1/2,y+1/2,z'
'-x+1/2,-y+1/2,-z'
'-x+1/2,y+1/2,-z'
'x+1/2,-y+1/2,z'
loop_
_atom_site_label
_atom_site_type_symbol
_atom_site_fract_x
_atom_site_fract_y
_atom_site_fract_z
_atom_site_occupancy
Hg1 Hg 0.000 0.000 0.000 1
As1 As 0.000 0.500 0.500 1
Se1 Se 0.210 0.000 0.714 1

***

3.
# Ni2MoAu | Alexandria | PBE | optimized geometry
# ΔE_f = 295 meV per atom
data_Ni2MoAu
_space_group_name_H-M_alt 'F -4 3 m'
_space_group_IT_number 216
_space_group_name_Hall 'F -4 2 3'
_cell_length_a 6.087
_cell_length_b 6.087
_cell_length_c 6.087
_cell_angle_alpha 90.00
_cell_angle_beta 90.00
_cell_angle_gamma 90.00
loop_
_atom_site_label
_atom_site_type_symbol
_atom_site_fract_x
_atom_site_fract_y
_atom_site_fract_z
_atom_site_occupancy
Ni1 Ni 0.000 0.000 0.000 1
Ni2 Ni 0.250 0.250 0.250 1
Mo1 Mo 0.000 0.000 0.500 1
Au1 Au 0.250 0.250 0.750 1

***

4.
# CrCd2As | Alexandria | PBE | optimized geometry
# ΔE_f = 217 meV per atom
data_CrCd2As
_space_group_name_H-M_alt 'I m m 2'
_space_group_IT_number 44
_cell_length_a 3.506
_cell_length_b 4.662
_cell_length_c 9.867
_cell_angle_alpha 90.00
_cell_angle_beta 90.00
_cell_angle_gamma 90.00
loop_
_space_group_symop_operation_xyz
'x,y,z'
'-x,-y,z'
'-x,y,z'
'x,-y,z'
'x+1/2,y+1/2,z+1/2'
'-x+1/2,-y+1/2,z+1/2'
'-x+1/2,y+1/2,z+1/2'
'x+1/2,-y+1/2,z+1/2'
loop_
_atom_site_label
_atom_site_type_symbol
_atom_site_fract_x
_atom_site_fract_y
_atom_site_fract_z
_atom_site_occupancy
Cr1 Cr 0.000 0.000 0.000 1
Cd1 Cd 0.000 0.000 0.532 1
Cd2 Cd 0.000 0.500 0.746 1
As1 As 0.000 0.500 0.322 1

***

5.
# NaPr2Ho3Se6 | Alexandria | PBE | optimized geometry
# ΔE_f (raw) = -2048.6 kJ/mol of formula units
data_NaPr2Ho3Se6
_space_group_name_H-M_alt 'C 1 2/m 1'
_space_group_IT_number 12
_cell_length_a 18.229
_cell_length_b 4.115
_cell_length_c 8.394
_cell_angle_alpha 90.00
_cell_angle_beta 104.20
_cell_angle_gamma 90.00
loop_
_space_group_symop_operation_xyz
'x,y,z'
'-x,-y,-z'
'-x,y,-z'
'x,-y,z'
'x+1/2,y+1/2,z'
'-x+1/2,-y+1/2,-z'
'-x+1/2,y+1/2,-z'
'x+1/2,-y+1/2,z'
loop_
_atom_site_label
_atom_site_type_symbol
_atom_site_fract_x
_atom_site_fract_y
_atom_site_fract_z
_atom_site_occupancy
Na1 Na 0.000 0.000 0.000 1
Pr1 Pr 0.171 0.500 0.344 1
Ho1 Ho 0.000 0.000 0.500 1
Ho2 Ho 0.167 0.500 0.828 1
Se1 Se 0.003 0.500 0.744 1
Se2 Se 0.160 0.000 0.594 1
Se3 Se 0.169 0.000 0.072 1

***

6.
# Ca2SO4 | Alexandria | PBE | optimized geometry
# ΔE_f (raw) = -1251.7 kJ/mol of formula units
data_Ca2SO4
_space_group_name_H-M_alt 'I 4/m m m'
_space_group_IT_number 139
_space_group_name_Hall '-I 4 2'
_cell_length_a 5.468
_cell_length_b 5.468
_cell_length_c 6.342
_cell_angle_alpha 90.00
_cell_angle_beta 90.00
_cell_angle_gamma 90.00
loop_
_atom_site_label
_atom_site_type_symbol
_atom_site_fract_x
_atom_site_fract_y
_atom_site_fract_z
_atom_site_occupancy
Ca1 Ca 0.000 0.500 0.250 1
S1 S 0.000 0.000 0.000 1
O1 O 0.226 0.226 0.000 1

***

Values for total DFT energy (no corrections), Ha/atom, ordered as above
-0.317 -0.111 -0.225 -0.140 -0.204 -0.215
Values for DOS at the Fermi energy, states/eV/atom, ordered as above
0.7254 0.3319 1.0722 0.4435 0.2776 0.1658